No. 1
Density functional theory data (GGA-PBEsol) for crystalline PIr2Rh at its relaxed geometry.

Cell: 2.7036 4.5134 4.5226 Å, 90.00 90.00 90.00°
Positions (direct):
Ir 0.0000 0.0000 0.0000
Ir 0.5000 0.0000 0.5000
P 0.5000 0.5000 0.0000
Rh 0.0000 0.5000 0.5000

The space group is No. 47. Its total moment is 0.000 μB/atom. The value obtained for the formation energy from the elements is 0.159 eV/atom.

No. 2
Density functional theory data (GGA-PBEsol) for crystalline PIrRh2 at its relaxed geometry.

Cell: 2.7693 2.7693 8.1355 Å, 80.20 80.20 60.00°
Positions (direct):
Ir 0.5000 0.5000 0.5000
P 0.0000 0.0000 0.0000
Rh 0.2607 0.2607 0.2179
Rh 0.7393 0.7393 0.7821

The space group is No. 166. Its total moment is 0.001 μB/atom. The value obtained for the formation energy from the elements is -0.221 eV/atom.

No. 3
Density functional theory data (GGA-PBEsol) for crystalline P2IrRh at its relaxed geometry.

Cell: 3.7665 3.9216 4.0309 Å, 92.78 90.00 90.00°
Positions (direct):
Ir 0.5000 0.5000 0.5000
P 0.0000 0.3176 0.1887
P 0.0000 0.6824 0.8113
Rh 0.5000 0.0000 0.0000

The space group is No. 10. Its total moment is 0.000 μB/atom. The calculation puts the energy above the most stable polymorph in this dataset at 0.000 eV/atom. The value obtained for the formation energy from the elements is -0.232 eV/atom.

No. 4
Density functional theory data (GGA-PBEsol) for crystalline PIrRh at its relaxed geometry.

Cell: 3.8926 3.8926 3.8926 Å, 60.00 60.00 60.00°
Positions (direct):
P 0.7500 0.7500 0.7500
Ir 0.5000 0.5000 0.5000
Rh 0.0000 0.0000 0.0000

The space group is No. 216. Its total moment is 0.000 μB/atom. The value obtained for the formation energy from the elements is -0.620 eV/atom.

No. 5
Density functional theory data (GGA-PBEsol) for crystalline PIrRh2 at its relaxed geometry.

Cell: 3.7869 3.7869 4.5747 Å, 114.45 114.45 90.00°
Positions (direct):
Ir 0.5000 0.5000 0.0000
P 0.0000 0.0000 0.0000
Rh 0.7500 0.2500 0.5000
Rh 0.2500 0.7500 0.5000

The space group is No. 139. Its total moment is 0.000 μB/atom. The value obtained for the formation energy from the elements is 0.041 eV/atom.

No. 6
Density functional theory data (GGA-PBEsol) for crystalline PIrRh2 at its relaxed geometry.

Cell: 2.7907 4.1496 5.2698 Å, 113.19 105.35 90.00°
Positions (direct):
Ir 0.5504 0.5504 0.1009
P 0.2496 0.7496 0.4992
Rh 0.9474 0.9474 0.8948
Rh 0.7526 0.2526 0.5051

The space group is No. 44. Its total moment is 0.000 μB/atom. The value obtained for the formation energy from the elements is -0.264 eV/atom.

No. 7
Density functional theory data (GGA-PBEsol) for crystalline PIr2Ru at its relaxed geometry.

Cell: 2.7708 2.7708 6.9474 Å, 90.00 90.00 90.00°
Positions (direct):
Ir 0.0000 0.0000 0.7723
Ir 0.0000 0.0000 0.2277
P 0.5000 0.5000 0.0000
Ru 0.5000 0.5000 0.5000

The space group is No. 123. Its total moment is 0.001 μB/atom. The value obtained for the formation energy from the elements is 0.060 eV/atom.

No. 8
Density functional theory data (GGA-PBEsol) for crystalline PIr2Ru at its relaxed geometry.

Cell: 4.2721 4.2721 4.2721 Å, 60.00 60.00 60.00°
Each line ends with the local moment (μB).
Positions (direct):
Ir 0.0000 0.0000 0.0000  0.13
Ir 0.7500 0.7500 0.7500  0.23
P 0.5000 0.5000 0.5000  0.00
Ru 0.2500 0.2500 0.2500  0.52

The space group is No. 216. Its total moment is 0.223 μB/atom. The value obtained for the formation energy from the elements is 0.391 eV/atom.

No. 9
Density functional theory data (GGA-PBEsol) for crystalline PIr4Ru at its relaxed geometry.

Cell: 5.0908 5.0908 5.0908 Å, 60.00 60.00 60.00°
Each line ends with the local moment (μB).
Positions (direct):
Ir 0.3748 0.3748 0.3748  0.21
Ir 0.3748 0.3748 0.8757  0.21
Ir 0.8757 0.3748 0.3748  0.21
Ir 0.3748 0.8757 0.3748  0.21
P 0.7500 0.7500 0.7500  -0.01
Ru 0.0000 0.0000 0.0000  1.50

The space group is No. 216. Its total moment is 0.406 μB/atom. The value obtained for the formation energy from the elements is 0.934 eV/atom.

No. 10
Density functional theory data (GGA-PBEsol) for crystalline PIr2Ru at its relaxed geometry.

Cell: 2.7052 2.7279 8.6465 Å, 90.00 90.00 119.73°
Positions (direct):
Ir 0.0000 0.0000 0.7325
Ir 0.0000 0.0000 0.2675
P 0.5000 0.0000 0.5000
Ru 0.5000 0.0000 0.0000

The space group is No. 65. Its total moment is 0.000 μB/atom. The value obtained for the formation energy from the elements is 0.375 eV/atom.

No. 11
Density functional theory data (GGA-PBEsol) for crystalline PIr2Ru at its relaxed geometry.

Cell: 2.7949 4.2256 5.2008 Å, 113.97 105.59 90.00°
Positions (direct):
Ir 0.9986 0.9986 0.9972
Ir 0.7951 0.2951 0.5902
P 0.5024 0.5024 0.0047
Ru 0.2039 0.7039 0.4079

The space group is No. 44. Its total moment is 0.000 μB/atom. The value obtained for the formation energy from the elements is -0.089 eV/atom.

No. 12
Density functional theory data (GGA-PBEsol) for crystalline Y2PIrRu at its relaxed geometry.

Cell: 4.5234 5.1960 5.1960 Å, 90.00 90.00 90.00°
Positions (direct):
Y 0.0000 0.0000 0.5000
Y 0.0000 0.5000 0.0000
Ru 0.0000 0.0000 0.0000
Ir 0.5000 0.0000 0.0000
P 0.5000 0.5000 0.5000

The space group is No. 123. Its total moment is 0.000 μB/atom. The value obtained for the formation energy from the elements is 0.306 eV/atom.

No. 13
Density functional theory data (GGA-PBEsol) for crystalline PIrS2 at its relaxed geometry.

Cell: 3.1643 3.1643 7.4583 Å, 77.75 77.75 60.00°
Positions (direct):
P 0.5000 0.5000 0.5000
S 0.8983 0.8983 0.3050
S 0.1017 0.1017 0.6950
Ir 0.0000 0.0000 0.0000

The space group is No. 166. Its formation energy from raw total energies is 1.3 eV per formula unit. Its total moment is 0.000 μB/atom.

No. 14
Density functional theory data (GGA-PBEsol) for crystalline SbP2IrS at its relaxed geometry.

Cell: 4.6961 4.8501 4.8501 Å, 90.00 90.00 90.00°
Each line ends with the local moment (μB).
Positions (direct):
Sb 0.0000 0.0000 0.0000  0.00
S 0.5000 0.0000 0.0000  0.08
Ir 0.5000 0.5000 0.5000  0.62
P 0.0000 0.0000 0.5000  -0.01
P 0.0000 0.5000 0.0000  -0.01

The space group is No. 123. Its formation energy from raw total energies is 9.1 eV per formula unit. Its total moment is 0.141 μB/atom.

No. 15
Density functional theory data (GGA-PBEsol) for crystalline SiPIrS2 at its relaxed geometry.

Cell: 4.3303 4.7825 4.7825 Å, 90.00 90.00 90.00°
Positions (direct):
P 0.5000 0.0000 0.0000
S 0.0000 0.0000 0.5000
S 0.0000 0.5000 0.0000
Ir 0.0000 0.0000 0.0000
Si 0.5000 0.5000 0.5000

The space group is No. 123. Its formation energy from raw total energies is 3.7 eV per formula unit. Its total moment is 0.000 μB/atom.

No. 16
Density functional theory data (GGA-PBEsol) for crystalline SnPIrS2 at its relaxed geometry.

Cell: 4.7537 4.7537 4.8859 Å, 90.00 90.00 90.00°
Each line ends with the local moment (μB).
Positions (direct):
P 0.0000 0.0000 0.5000  -0.04
S 0.0000 0.5000 0.0000  0.10
S 0.5000 0.0000 0.0000  0.10
Ir 0.5000 0.5000 0.5000  1.10
Sn 0.0000 0.0000 0.0000  -0.01

The space group is No. 123. Its formation energy from raw total energies is 8.0 eV per formula unit. Its total moment is 0.271 μB/atom.

No. 17
Density functional theory data (GGA-PBEsol) for crystalline TiP2IrS at its relaxed geometry.

Cell: 4.4012 4.5650 4.5650 Å, 90.00 90.00 90.00°
Positions (direct):
P 0.0000 0.0000 0.5000
P 0.0000 0.5000 0.0000
S 0.5000 0.0000 0.0000
Ir 0.5000 0.5000 0.5000
Ti 0.0000 0.0000 0.0000

The space group is No. 123. Its formation energy from raw total energies is 4.1 eV per formula unit. Its total moment is 0.004 μB/atom.

No. 18
Density functional theory data (GGA-PBEsol) for crystalline ZrP2IrS at its relaxed geometry.

Cell: 4.6955 4.8925 4.8925 Å, 90.00 90.00 90.00°
Each line ends with the local moment (μB).
Positions (direct):
P 0.0000 0.0000 0.5000  -0.02
P 0.0000 0.5000 0.0000  -0.02
S 0.5000 0.0000 0.0000  0.03
Ir 0.5000 0.5000 0.5000  0.92
Zr 0.0000 0.0000 0.0000  0.03

The space group is No. 123. Its formation energy from raw total energies is 5.6 eV per formula unit. Its total moment is 0.190 μB/atom.

No. 19
Density functional theory data (GGA-PBEsol) for crystalline Sb2PIr at its relaxed geometry.

Cell: 3.4851 3.5098 7.4363 Å, 103.65 103.55 90.00°
Positions (direct):
Sb 0.1538 0.1538 0.3076
Sb 0.8462 0.8462 0.6924
Ir 0.0000 0.5000 0.0000
P 0.5000 0.0000 0.0000

The space group is No. 71. Its formation energy from raw total energies is 0.4 eV per formula unit. Its total moment is 0.000 μB/atom.

No. 20
Density functional theory data (GGA-PBEsol) for crystalline Sb2PIr at its relaxed geometry.

Cell: 4.2179 4.4472 4.4472 Å, 108.08 90.00 90.00°
Positions (direct):
Sb 0.0000 0.0454 0.9546
Sb 0.5000 0.6948 0.3052
Ir 0.0000 0.4609 0.5391
P 0.5000 0.2958 0.7042

The space group is No. 38. Its formation energy from raw total energies is -0.3 eV per formula unit. Its total moment is 0.000 μB/atom.